# 1
{
  "formula": "GdHo2Ga3CuNi2",
  "functional": "PBE",
  "state": "optimized geometry",
  "rho_g_cm3": 8.9,
  "energy_ev_per_atom": -4.78,
  "cell": [[3.714, 0.000, 0.000], [0.000, 6.176, 3.565], [0.000, -6.176, 3.565]],
  "species": ["Cu", "Ga", "Ga", "Ga", "Gd", "Ho", "Ho", "Ni", "Ni"],
  "frac_coords": [[0.000, 0.999, 0.999], [0.500, 0.998, 0.256], [0.500, 0.746, 0.746], [0.500, 0.256, 0.998], [0.000, 0.413, 0.413], [0.000, 0.588, 0.000], [0.000, 0.000, 0.588], [0.500, 0.668, 0.332], [0.500, 0.332, 0.668]]
}



# 2
{
  "formula": "Gd2HoGa3CuNi2",
  "functional": "PBE",
  "state": "optimized geometry",
  "rho_g_cm3": 8.7,
  "energy_ev_per_atom": -4.79,
  "cell": [[-2.769, 2.198, -1.210], [-4.775, -4.968, 1.900], [1.962, 5.043, 4.671]],
  "species": ["Cu", "Ga", "Ga", "Ga", "Gd", "Gd", "Ho", "Ni", "Ni"],
  "frac_coords": [[0.000, 0.999, 0.999], [0.500, 0.257, 0.257], [0.500, 0.998, 0.745], [0.500, 0.745, 0.998], [0.000, 0.413, 0.000], [0.000, 0.000, 0.413], [0.000, 0.588, 0.588], [0.500, 0.666, 0.335], [0.500, 0.335, 0.666]]
}



# 3
{
  "formula": "Gd3Mg3GaCu2",
  "functional": "PBE",
  "state": "optimized geometry",
  "rho_g_cm3": 6.1,
  "energy_ev_per_atom": -3.49,
  "cell": [[-5.557, -4.769, -0.676], [3.629, 0.538, 6.374], [-2.744, 3.012, 1.308]],
  "species": ["Cu", "Cu", "Ga", "Gd", "Gd", "Gd", "Mg", "Mg", "Mg"],
  "frac_coords": [[0.667, 0.333, 0.500], [0.333, 0.667, 0.500], [0.000, 0.000, 0.000], [0.419, 0.000, 0.000], [0.000, 0.419, 0.000], [0.581, 0.581, 0.000], [0.754, 0.000, 0.500], [0.246, 0.246, 0.500], [0.000, 0.754, 0.500]]
}



# 4
{
  "formula": "Gd3Mg3Ga2Cu",
  "functional": "PBE",
  "state": "optimized geometry",
  "rho_g_cm3": 6.1,
  "energy_ev_per_atom": -3.58,
  "cell": [[-1.857, 7.081, -0.832], [0.015, -4.513, -5.824], [-4.154, -0.999, 0.764]],
  "species": ["Cu", "Ga", "Ga", "Gd", "Gd", "Gd", "Mg", "Mg", "Mg"],
  "frac_coords": [[0.000, 0.000, 0.000], [0.667, 0.333, 0.500], [0.333, 0.667, 0.500], [0.416, 0.000, 0.000], [0.000, 0.416, 0.000], [0.584, 0.584, 0.000], [0.761, 0.000, 0.500], [0.239, 0.239, 0.500], [0.000, 0.761, 0.500]]
}



# 5
{
  "formula": "NdGdGa4Cu2",
  "functional": "PBE",
  "state": "optimized geometry",
  "rho_g_cm3": 7.6,
  "energy_ev_per_atom": -4.14,
  "cell": [[4.123, 0.000, 0.000], [0.000, 2.102, 8.887], [0.000, -2.102, 8.887]],
  "species": ["Cu", "Cu", "Ga", "Ga", "Ga", "Ga", "Gd", "Nd"],
  "frac_coords": [[0.500, 0.078, 0.078], [0.500, 0.922, 0.922], [0.500, 0.214, 0.214], [0.500, 0.499, 0.499], [0.500, 0.788, 0.788], [0.000, 0.999, 0.999], [0.000, 0.358, 0.358], [0.000, 0.643, 0.643]]
}



# 6
{
  "formula": "SmGd2Ga3CuNi2",
  "functional": "PBE",
  "state": "optimized geometry",
  "rho_g_cm3": 8.4,
  "energy_ev_per_atom": -4.78,
  "cell": [[-2.836, -2.390, -0.710], [-3.258, 2.069, 6.052], [-1.353, 3.435, -6.156]],
  "species": ["Cu", "Ga", "Ga", "Ga", "Gd", "Gd", "Ni", "Ni", "Sm"],
  "frac_coords": [[0.000, 0.001, 0.001], [0.500, 0.748, 0.002], [0.500, 0.251, 0.251], [0.500, 0.002, 0.748], [0.000, 0.000, 0.414], [0.000, 0.414, 0.000], [0.500, 0.668, 0.332], [0.500, 0.332, 0.668], [0.000, 0.586, 0.586]]
}



# 7
{
  "formula": "GdTm2Ga3Cu2Ni",
  "functional": "PBE",
  "state": "optimized geometry",
  "rho_g_cm3": 9.0,
  "energy_ev_per_atom": -4.50,
  "cell": [[3.976, 0.000, 0.000], [0.000, 5.982, 3.460], [0.000, -5.982, 3.460]],
  "species": ["Cu", "Cu", "Ga", "Ga", "Ga", "Gd", "Ni", "Tm", "Tm"],
  "frac_coords": [[0.500, 0.671, 0.332], [0.500, 0.332, 0.671], [0.500, 0.999, 0.236], [0.500, 0.764, 0.764], [0.500, 0.236, 0.999], [0.000, 0.410, 0.410], [0.000, 0.995, 0.995], [0.000, 0.592, 0.001], [0.000, 0.001, 0.592]]
}



# 8
{
  "formula": "Gd2TmGa3CuNi2",
  "functional": "PBE",
  "state": "optimized geometry",
  "rho_g_cm3": 8.8,
  "energy_ev_per_atom": -4.78,
  "cell": [[-2.975, -0.330, -2.225], [-2.815, -4.786, 4.472], [-1.410, 6.936, 0.858]],
  "species": ["Cu", "Ga", "Ga", "Ga", "Gd", "Gd", "Ni", "Ni", "Tm"],
  "frac_coords": [[0.000, 0.998, 0.998], [0.500, 0.258, 0.258], [0.500, 0.996, 0.744], [0.500, 0.744, 0.996], [0.000, 0.413, 0.001], [0.000, 0.001, 0.413], [0.500, 0.665, 0.337], [0.500, 0.337, 0.665], [0.000, 0.588, 0.588]]
}



# 9
{
  "formula": "Gd2YGa3Cu2Ni",
  "functional": "PBE",
  "state": "optimized geometry",
  "rho_g_cm3": 7.8,
  "energy_ev_per_atom": -4.73,
  "cell": [[4.009, 0.000, 0.000], [0.000, 6.065, 3.481], [0.000, -6.065, 3.481]],
  "species": ["Cu", "Cu", "Ga", "Ga", "Ga", "Gd", "Gd", "Ni", "Y"],
  "frac_coords": [[0.500, 0.667, 0.334], [0.500, 0.334, 0.667], [0.500, 0.235, 0.235], [0.500, 0.999, 0.764], [0.500, 0.764, 0.999], [0.000, 0.410, 0.000], [0.000, 0.000, 0.410], [0.000, 0.000, 0.000], [0.000, 0.590, 0.590]]
}



# 10
{
  "formula": "GdY2Ga3Cu2Ni",
  "functional": "PBE",
  "state": "optimized geometry",
  "rho_g_cm3": 7.2,
  "energy_ev_per_atom": -4.94,
  "cell": [[-1.862, 1.592, -3.157], [-0.602, -6.334, -2.841], [-5.029, 2.405, 4.179]],
  "species": ["Cu", "Cu", "Ga", "Ga", "Ga", "Gd", "Ni", "Y", "Y"],
  "frac_coords": [[0.500, 0.667, 0.333], [0.500, 0.333, 0.667], [0.500, 0.765, 0.001], [0.500, 0.236, 0.236], [0.500, 0.001, 0.765], [0.000, 0.590, 0.590], [0.000, 0.000, 0.000], [0.000, 0.000, 0.409], [0.000, 0.409, 0.000]]
}



# 11
{
  "formula": "GdGa2CuPt",
  "functional": "PBE",
  "state": "optimized geometry",
  "rho_g_cm3": 10.1,
  "energy_ev_per_atom": -4.81,
  "cell": [[4.187, 0.000, 0.000], [0.000, 4.187, 0.000], [0.000, 0.000, 10.454]],
  "species": ["Cu", "Cu", "Ga", "Ga", "Ga", "Ga", "Gd", "Gd", "Pt", "Pt"],
  "frac_coords": [[0.000, 0.000, 0.000], [0.500, 0.500, 0.000], [0.500, 0.000, 0.123], [0.000, 0.000, 0.500], [0.500, 0.500, 0.500], [0.000, 0.500, 0.877], [0.000, 0.500, 0.247], [0.500, 0.000, 0.753], [0.500, 0.000, 0.360], [0.000, 0.500, 0.640]]
}



# 12
{
  "formula": "SmGd2Ga3Cu3",
  "functional": "PBE",
  "state": "optimized geometry",
  "rho_g_cm3": 8.2,
  "energy_ev_per_atom": -4.28,
  "cell": [[-2.537, -2.831, 0.963], [2.992, -4.335, -4.864], [2.471, 0.074, 6.730]],
  "species": ["Cu", "Cu", "Cu", "Ga", "Ga", "Ga", "Gd", "Gd", "Sm"],
  "frac_coords": [[0.000, 0.002, 0.002], [0.500, 0.668, 0.331], [0.500, 0.331, 0.668], [0.500, 0.755, 0.002], [0.500, 0.244, 0.244], [0.500, 0.002, 0.755], [0.000, 0.000, 0.411], [0.000, 0.411, 0.000], [0.000, 0.588, 0.588]]
}